(1)
Computed, not measured: a geometry-optimized NaZr3Ni structure at the PBE-GGA level of DFT.

Cell: 4.904 4.904 4.904 Å, 90.00 90.00 90.00°
Positions (direct):
Na 0.000 0.000 0.000
Zr 0.000 0.000 0.500
Zr 0.000 0.500 0.000
Zr 0.500 0.000 0.000
Ni 0.500 0.500 0.500

Summary:
Total magnetic moment ... 0.00 μB per formula unit
Space group ... Pm-3m (221)
Fermi-level density of states ... 7.71 states/eV per cell
ΔE_f ... 1733 meV/atom
E above lowest polymorph ... 124.8 kJ/mol of atoms

(2)
Computed, not measured: a geometry-optimized NaZrNi4 structure at the PBE-GGA level of DFT.

Cell: 4.890 4.890 4.890 Å, 60.00 60.00 60.00°
Positions (direct):
Na 0.000 0.000 0.000
Zr 0.750 0.750 0.750
Ni 0.375 0.375 0.375
Ni 0.375 0.375 0.876
Ni 0.375 0.876 0.375
Ni 0.876 0.375 0.375

Summary:
Total magnetic moment ... 0.00 μB per formula unit
Space group ... F-43m (216)
Fermi-level density of states ... 7.44 states/eV per cell
ΔE_f ... -144 meV/atom

(3)
Computed, not measured: a geometry-optimized NaZr3Ni structure at the PBE-GGA level of DFT.

Cell: 4.979 4.979 4.979 Å, 90.00 90.00 90.00°
Positions (direct):
Na 0.000 0.000 0.000
Zr 0.000 0.500 0.500
Zr 0.500 0.000 0.500
Zr 0.500 0.500 0.000
Ni 0.500 0.500 0.500

Summary:
Total magnetic moment ... 0.00 μB per formula unit
Space group ... Pm-3m (221)
Fermi-level density of states ... 9.52 states/eV per cell
ΔE_f ... 440 meV/atom
E above lowest polymorph ... 0.0 kJ/mol of atoms

(4)
Computed, not measured: a geometry-optimized Na2ZrNi structure at the PBE-GGA level of DFT.

Cell: 6.633 6.633 6.633 Å, 98.18 98.18 135.67°
Positions (direct):
Na 0.056 0.625 0.931
Na 0.375 0.306 0.431
Na 0.694 0.125 0.069
Na 0.875 0.944 0.569
Zr 0.250 0.750 0.500
Zr 0.500 0.500 0.000
Ni 0.000 0.000 0.000
Ni 0.750 0.250 0.500

Summary:
Total magnetic moment ... 0.72 μB per formula unit
Space group ... I-42d (122)
Fermi-level density of states ... 9.90 states/eV per cell
ΔE_f ... 788 meV/atom
E above lowest polymorph ... 0.0 kJ/mol of atoms